[1]
DFT (PBE) results for a relaxed PrTm2Ru crystal.

```
4
Lattice="3.422 0.000 0.000 0.000 3.422 0.000 0.000 0.000 8.960" Properties=species:S:1:pos:R:3 pbc="T T T"
Tm 0.000 0.000 7.358
Tm 0.000 0.000 1.601
Ru 1.711 1.711 0.000
Pr 1.711 1.711 4.480
```

Summary:
volume	105	Å³/cell
energy above the lowest structure with this stoichiometry	4	meV per atom
formation energy from the elements	-0.290	eV per atom
N(E_F)	2.5	states/eV per cell

=====

[2]
DFT (PBE) results for a relaxed CaYGa2 crystal.

```
4
Lattice="3.670 0.000 0.000 1.835 3.178 0.000 1.835 1.059 9.014" Properties=species:S:1:pos:R:3 pbc="T T T"
Ga 1.835 1.059 2.201
Ga 5.505 3.178 6.813
Ca 3.670 2.119 4.507
Y 0.000 0.000 0.000
```

Summary:
volume	105	Å³/cell
formation energy from the elements	-0.315	eV per atom
N(E_F)	2.9	states/eV per cell

=====

[3]
DFT (PBE) results for a relaxed Tb2Pr3Nd5 crystal.

```
10
Lattice="-4.315 -3.450 0.880 1.238 -5.093 3.888 -9.457 8.471 4.624" Properties=species:S:1:pos:R:3 pbc="T T T"
Pr -0.981 -2.568 2.904
Pr -6.267 -0.036 4.696
Pr -11.553 2.497 6.488
Nd -5.509 3.230 3.433
Nd -7.026 -3.302 5.959
Nd -4.375 -2.613 3.873
Nd -8.160 2.541 5.520
Nd 0.000 0.000 0.000
Tb -9.075 -0.305 7.661
Tb -3.460 0.233 1.732
```

Summary:
volume	357	Å³/cell
energy above the lowest structure with this stoichiometry	0	meV per atom
formation energy from the elements	0.159	eV per atom
N(E_F)	14.7	states/eV per cell

=====

[4]
DFT (PBE) results for a relaxed Ba2Mg5Hg5 crystal.

```
12
Lattice="-3.143 3.583 0.847 -3.689 -3.979 3.144 5.224 2.412 9.183" Properties=species:S:1:pos:R:3 pbc="T T T"
Hg 1.643 -0.379 7.703
Hg 0.945 0.436 1.661
Hg 4.279 1.976 7.522
Hg -0.108 -1.188 4.624
Hg -1.571 1.791 0.423
Mg 1.450 2.615 8.155
Mg -3.058 -0.598 5.019
Mg -0.804 1.008 6.587
Mg -0.385 0.636 9.718
Mg -1.224 1.380 3.455
Ba 2.612 1.206 4.592
Ba -1.845 -1.989 1.572
```

Summary:
volume	329	Å³/cell
formation energy from the elements	-0.311	eV per atom
N(E_F)	8.6	states/eV per cell

=====

[5]
DFT (PBE) results for a relaxed YSeIBr2 crystal.

```
5
Lattice="-5.102 2.238 0.030 -1.311 -2.929 -4.554 -1.920 -4.423 3.397" Properties=species:S:1:pos:R:3 pbc="T T T"
Br -0.656 -1.464 -2.277
Br -2.551 1.119 0.015
Y -4.167 -2.557 -0.564
Se -0.960 -2.211 1.699
I 0.000 0.000 0.000
```

Summary:
volume	183	Å³/cell
energy above the lowest structure with this stoichiometry	1113	meV per atom
N(E_F)	3.8	states/eV per cell
energy relative to the elements, uncorrected	22.3	kJ/mol of atoms

=====

[6]
DFT (PBE) results for a relaxed BaSn2TeIr crystal.

```
5
Lattice="-1.116 -4.941 -0.559 4.972 -1.111 -0.110 -0.019 -0.710 6.312" Properties=species:S:1:pos:R:3 pbc="T T T"
Ba -0.009 -0.355 3.156
Sn 2.486 -0.556 -0.055
Sn -0.558 -2.470 -0.279
Ir 0.000 0.000 0.000
Te 1.919 -3.381 2.822
```

Summary:
volume	165	Å³/cell
energy above the lowest structure with this stoichiometry	0	meV per atom
N(E_F)	2.9	states/eV per cell
energy relative to the elements, uncorrected	-47.3	kJ/mol of atoms

=====

[7]
DFT (PBE) results for a relaxed TcHgS3 crystal.

```
5
Lattice="-1.745 -3.944 -2.438 -1.144 -2.158 4.310 -4.493 2.082 -0.151" Properties=species:S:1:pos:R:3 pbc="T T T"
S -0.572 -1.079 2.155
S -0.873 -1.972 -1.219
S -2.247 1.041 -0.075
Tc -3.691 -2.010 0.861
Hg 0.000 0.000 0.000
```

Summary:
volume	122	Å³/cell
energy above the lowest structure with this stoichiometry	1120	meV per atom
N(E_F)	4.1	states/eV per cell
energy relative to the elements, uncorrected	130.6	kJ/mol of atoms

=====

[8]
DFT (PBE) results for a relaxed Sr2Mg12Cd3Ga crystal.

```
18
Lattice="10.988 2.058 1.460 7.216 8.538 1.460 7.216 4.200 7.576" Properties=species:S:1:pos:R:3 pbc="T T T"
Cd 5.494 1.029 0.730
Cd 3.608 2.100 3.788
Cd 3.608 4.269 0.730
Mg 17.219 12.464 8.841
Mg 12.003 5.271 5.557
Mg 6.078 5.979 1.654
Mg 10.511 7.835 5.557
Mg 13.417 7.810 7.358
Mg 14.909 6.962 4.938
Mg 19.342 11.259 5.399
Mg 6.078 3.538 5.096
Mg 13.417 9.526 4.938
Mg 8.201 2.332 1.654
Mg 12.003 6.987 3.137
Mg 19.342 8.817 8.841
Sr 8.980 5.227 3.708
Sr 16.440 9.569 6.787
Ga 0.000 0.000 0.000
```

Summary:
volume	507	Å³/cell
formation energy from the elements	0.084	eV per atom
N(E_F)	10.3	states/eV per cell